{
  "formula": "Cs2WI6N",
  "functional": "PBE",
  "state": "optimized geometry",
  "raw_formation_energy_mev_per_atom": -148,
  "energy_ev_per_atom": -3.38,
  "dos_at_fermi_per_ev_cell": 11.57,
  "cell": [[-4.215, 4.215, 5.951], [4.215, -4.215, 5.951], [4.215, 4.215, -5.951]],
  "species": ["Cs", "Cs", "W", "I", "I", "I", "I", "I", "I", "N"],
  "fractional_positions": [[0.250, 0.750, 0.500], [0.750, 0.250, 0.500], [0.000, 0.000, 0.000], [0.233, 0.233, 0.466], [0.233, 0.767, 0.000], [0.234, 0.234, 0.000], [0.766, 0.766, 0.000], [0.767, 0.233, 0.000], [0.767, 0.767, 0.534], [0.500, 0.500, 0.000]]
}